AcTbBeN3 | PBE-GGA | optimized geometry

Cell: 7.1943 3.4617 7.4462 Å, 90.00 102.13 90.00°
Closest atoms and distances in Å follow each position.
Space group P2_1/m (No. 11)
Unique sites:
Ac1 0.2236 0.2500 0.1813 x2  7 N 2.60-2.80
Tb1 0.1774 0.2500 0.6536 x2  6 N 2.37-2.45
Be1 0.3957 0.7500 0.9264 x2  2 N 1.69-1.70
N1 0.1537 0.7500 0.8815 x2  1 Be 1.70
N2 0.1613 0.7500 0.4221 x2  3 Tb 2.38-2.43, 2 Ac 2.60
N3 0.4798 0.2500 0.8542 x2  1 Be 1.69

Results
- ρ: 8.004 g/cm³
- Formation energy (no corrections): -1.013 eV/atom
- Magnetic moment: 0.001 μB/f.u.

=====

GdMgAu | PBE-GGA | optimized geometry

Cell: 3.5057 3.5057 11.3961 Å, 90.00 90.00 90.00°
Closest atoms and distances in Å follow each position.
Space group I4mm (No. 107)
Unique sites:
Gd1 0.0000 0.0000 0.0000 x2  4 Au 3.12, 5 Mg 3.33-3.43
Mg1 0.0000 0.0000 0.7075 x2  4 Au 2.86
Au1 0.0000 0.0000 0.3334 x2  4 Mg 2.86, 4 Gd 3.12

Results
- ρ: 8.976 g/cm³
- Magnetic moment: 7.476 μB/f.u.
- Energy relative to the elements: -49.2 kJ/mol of atoms

=====

LaTl2P | PBE-GGA | optimized geometry

Cell: 3.9624 3.9624 6.6994 Å, 90.00 90.00 90.00°
Closest atoms and distances in Å follow each position.
Space group P4/mmm (No. 123)
Unique sites:
La1 0.0000 0.0000 0.0000 x1  2 P 3.35, 8 Tl 3.39
Tl1 0.5000 0.5000 0.2838 x2  1 Tl 2.90, 4 P 3.15
P1 0.0000 0.0000 0.5000 x1  8 Tl 3.15, 2 La 3.35

Results
- ρ: 9.135 g/cm³
- Relative energy among the computed polymorphs: 0.433 eV/atom
- Magnetic moment: 0.009 μB/f.u.
- Energy relative to the elements: -9.5 kJ/mol of atoms

=====

LuSn2Bi | PBE-GGA | optimized geometry

Cell: 7.6881 7.6881 7.6881 Å, 90.00 90.00 90.00°
Closest atoms and distances in Å follow each position.
Space group Fm-3m (No. 225)
Unique sites:
Lu1 0.0000 0.0000 0.0000 x4  8 Sn 3.33
Sn1 0.2500 0.2500 0.2500 x8  4 Bi 3.33, 4 Lu 3.33
Bi1 0.0000 0.0000 0.5000 x4  8 Sn 3.33

Results
- ρ: 9.082 g/cm³
- Relative energy among the computed polymorphs: 0.176 eV/atom
- Magnetic moment: 0.000 μB/f.u.
- Energy relative to the elements: -8.8 kJ/mol of atoms

=====

Question: Among the records above, which one has the lowest magnetic moment?
Answer: LuSn2Bi